! BaY2Mg | Alexandria via LeMat-Bulk | GGA-PBE | optimized geometry; values from VASP
&SYSTEM
  ibrav = 0, nat = 4, ntyp = 3
/
ATOMIC_SPECIES
Ba 137.33 Ba.upf
Y 88.91 Y.upf
Mg 24.30 Mg.upf
ATOMIC_POSITIONS angstrom
Ba 0.000 0.000 0.000
Y 0.000 0.000 8.456
Y 0.000 0.000 17.464
Mg 0.000 0.000 26.674
CELL_PARAMETERS angstrom
1.861 1.075 11.823
-1.861 1.075 11.823
0.000 -2.149 11.823
! density of states at the Fermi level	5.5	states/eV/f.u.
! space-group type	R3m, No. 160
! electronic total energy	-3.968	eV/atom
! energy of formation	0.57	eV/f.u.
! total magnetization	0.4	μB/f.u.

=====

! BaY2Mg | Alexandria via LeMat-Bulk | GGA-PBE | optimized geometry; values from VASP
&SYSTEM
  ibrav = 0, nat = 4, ntyp = 3
/
ATOMIC_SPECIES
Ba 137.33 Ba.upf
Y 88.91 Y.upf
Mg 24.30 Mg.upf
ATOMIC_POSITIONS angstrom
Ba 0.000 0.000 0.000
Y -0.030 2.841 4.892
Y 2.040 2.841 1.923
Mg 1.005 0.000 3.407
CELL_PARAMETERS angstrom
3.635 0.000 0.000
0.000 5.682 0.000
-1.625 0.000 6.815
! density of states at the Fermi level	5.8	states/eV/f.u.
! space-group type	P2/m, No. 10
! electronic total energy	-3.926	eV/atom
! energy of formation	0.74	eV/f.u.
! total magnetization	0.0	μB/f.u.

=====

! BaYMg2 | Alexandria via LeMat-Bulk | GGA-PBE | optimized geometry; values from VASP
&SYSTEM
  ibrav = 0, nat = 8, ntyp = 3
/
ATOMIC_SPECIES
Ba 137.33 Ba.upf
Y 88.91 Y.upf
Mg 24.30 Mg.upf
ATOMIC_POSITIONS angstrom
Ba 0.000 0.000 0.000
Ba 0.000 4.561 1.742
Y 4.561 0.000 1.742
Y 0.000 0.000 3.484
Mg 2.281 -2.027 2.613
Mg 2.534 2.281 0.871
Mg 2.281 6.588 -0.871
Mg 2.027 2.281 4.355
CELL_PARAMETERS angstrom
-4.561 4.561 3.484
4.561 -4.561 3.484
4.561 4.561 -3.484
! density of states at the Fermi level	6.0	states/eV/f.u.
! ΔE to the lowest computed polymorph	0.413	eV per atom
! space-group type	I-42d, No. 122
! electronic total energy	-2.522	eV/atom
! energy of formation	1.49	eV/f.u.
! total magnetization	0.0	μB/f.u.

=====

! BaY2Mg | Alexandria via LeMat-Bulk | GGA-PBE | optimized geometry; values from VASP
&SYSTEM
  ibrav = 0, nat = 4, ntyp = 3
/
ATOMIC_SPECIES
Ba 137.33 Ba.upf
Y 88.91 Y.upf
Mg 24.30 Mg.upf
ATOMIC_POSITIONS angstrom
Ba 0.000 0.000 0.000
Y 0.000 2.854 2.097
Y 2.854 0.000 2.097
Mg 2.854 2.854 0.000
CELL_PARAMETERS angstrom
5.708 0.000 0.000
0.000 5.708 0.000
0.000 0.000 4.193
! density of states at the Fermi level	6.8	states/eV/f.u.
! space-group type	P4/mmm, No. 123
! electronic total energy	-3.840	eV/atom
! energy of formation	1.09	eV/f.u.
! total magnetization	0.0	μB/f.u.

=====

! BaY2Mg | Alexandria via LeMat-Bulk | GGA-PBE | optimized geometry; values from VASP
&SYSTEM
  ibrav = 0, nat = 4, ntyp = 3
/
ATOMIC_SPECIES
Ba 137.33 Ba.upf
Y 88.91 Y.upf
Mg 24.30 Mg.upf
ATOMIC_POSITIONS angstrom
Ba 0.000 0.000 0.000
Y 0.000 2.938 2.952
Y 2.009 2.938 0.000
Mg 2.009 0.000 2.952
CELL_PARAMETERS angstrom
4.019 0.000 0.000
0.000 5.875 0.000
0.000 0.000 5.904
! density of states at the Fermi level	5.5	states/eV/f.u.
! space-group type	Pmmm, No. 47
! electronic total energy	-3.934	eV/atom
! energy of formation	0.71	eV/f.u.
! total magnetization	0.0	μB/f.u.

=====

! BaY2Mg | Alexandria via LeMat-Bulk | GGA-PBE | optimized geometry; values from VASP
&SYSTEM
  ibrav = 0, nat = 4, ntyp = 3
/
ATOMIC_SPECIES
Ba 137.33 Ba.upf
Y 88.91 Y.upf
Mg 24.30 Mg.upf
ATOMIC_POSITIONS angstrom
Ba 0.000 0.000 0.000
Y 1.812 2.507 1.893
Y 1.812 -2.507 1.893
Mg 3.623 0.000 0.000
CELL_PARAMETERS angstrom
3.623 -5.014 0.000
3.623 5.014 0.000
0.000 0.000 3.785
! density of states at the Fermi level	4.4	states/eV/f.u.
! space-group type	Cmmm, No. 65
! electronic total energy	-3.868	eV/atom
! energy of formation	0.97	eV/f.u.
! total magnetization	0.0	μB/f.u.